Below is a relaxed BaTe2N2 crystal, with properties calculated at the GGA-PBE level.

Cell lengths 4.4980, 4.4980, 6.1981 Å; angles 90.00, 90.00, 90.00 degrees
Element x y z (fractional)
Ba  0.0000  0.0000  0.0000
Te  0.0000  0.5000  0.5000
Te  0.5000  0.0000  0.5000
N  0.5000  0.5000  0.0000
N  0.5000  0.5000  0.5000

Summary:
* symmetry: No. 123
* distance to the lowest polymorph of the same formula: 167 kJ/mol of formula units
* formation energy from raw total energies: 77 kJ per mole of atoms